VASP calculation (PBE) on CeTm2Si2 after structural relaxation.

Properties
Final energy (eV/atom): -5.610

Cell lengths 5.508, 4.123, 11.127 Å; angles 90.00, 96.51, 90.00 degrees
Fractional coordinates of all 10 atoms:
Ce (0.088, 0.250, 0.280)
Ce (0.912, 0.750, 0.720)
Tm (0.247, 0.250, 0.949)
Tm (0.404, 0.250, 0.627)
Tm (0.596, 0.750, 0.373)
Tm (0.753, 0.750, 0.051)
Si (0.127, 0.750, 0.478)
Si (0.267, 0.750, 0.128)
Si (0.733, 0.250, 0.872)
Si (0.873, 0.250, 0.522)


VASP calculation (PBE) on Pm4Ho15Er after structural relaxation.

Properties
Calculated formation energy (meV/atom): 20

Cell lengths 5.021, 5.021, 25.052 Å; angles 90.00, 90.00, 90.00 degrees
Fractional coordinates of all 20 atoms:
Pm (0.000, 0.000, 0.100)
Pm (0.000, 0.000, 0.301)
Pm (0.000, 0.000, 0.699)
Pm (0.000, 0.000, 0.900)
Ho (0.000, 0.500, 0.000)
Ho (0.000, 0.500, 0.201)
Ho (0.000, 0.500, 0.401)
Ho (0.000, 0.500, 0.599)
Ho (0.000, 0.500, 0.799)
Ho (0.500, 0.000, 0.000)
Ho (0.500, 0.000, 0.201)
Ho (0.500, 0.000, 0.401)
Ho (0.500, 0.000, 0.599)
Ho (0.500, 0.000, 0.799)
Ho (0.500, 0.500, 0.100)
Ho (0.500, 0.500, 0.301)
Ho (0.500, 0.500, 0.500)
Ho (0.500, 0.500, 0.699)
Ho (0.500, 0.500, 0.900)
Er (0.000, 0.000, 0.500)


VASP calculation (PBE) on ThTi4Ga4 after structural relaxation.

Properties
Calculated formation energy (meV/atom): -226

Cell lengths 8.463, 8.463, 4.904 Å; angles 90.00, 90.00, 90.00 degrees
Fractional coordinates of all 18 atoms:
Th (0.250, 0.250, 0.250)
Th (0.750, 0.750, 0.750)
Ti (0.126, 0.840, 0.654)
Ti (0.160, 0.626, 0.154)
Ti (0.340, 0.874, 0.154)
Ti (0.374, 0.660, 0.654)
Ti (0.626, 0.340, 0.346)
Ti (0.660, 0.126, 0.846)
Ti (0.840, 0.374, 0.846)
Ti (0.874, 0.160, 0.346)
Ga (0.002, 0.889, 0.173)
Ga (0.111, 0.502, 0.673)
Ga (0.389, 0.998, 0.673)
Ga (0.498, 0.611, 0.173)
Ga (0.502, 0.389, 0.827)
Ga (0.611, 0.002, 0.327)
Ga (0.889, 0.498, 0.327)
Ga (0.998, 0.111, 0.827)


VASP calculation (PBE) on AcTmZnGe after structural relaxation.

Properties
Calculated formation energy (meV/atom): -406

Cell lengths 5.253, 5.253, 5.253 Å; angles 60.00, 60.00, 60.00 degrees
Fractional coordinates of all 4 atoms:
Ac (0.000, 0.000, 0.000)
Tm (0.500, 0.500, 0.500)
Zn (0.250, 0.250, 0.250)
Ge (0.750, 0.750, 0.750)


VASP calculation (PBE) on DyEr2PaS4 after structural relaxation.

Properties
Final energy (eV/atom): -6.827

Cell lengths 6.725, 3.846, 6.752 Å; angles 90.00, 108.95, 90.00 degrees
Fractional coordinates of all 8 atoms:
Dy (0.000, 0.000, 0.000)
Er (0.000, 0.500, 0.500)
Er (0.500, 0.000, 0.500)
Pa (0.500, 0.500, 0.000)
S (0.246, 0.000, 0.744)
S (0.251, 0.500, 0.254)
S (0.749, 0.500, 0.746)
S (0.754, 0.000, 0.256)


Number 1: M_tot 1.4 μB per cell, volume 251 Å³/cell. Number 2: M_tot 0.0 μB per cell, volume 632 Å³/cell. Number 3: M_tot 0.0 μB per cell, volume 351 Å³/cell. Number 4: M_tot 0.0 μB per cell, volume 102 Å³/cell. Number 5: M_tot 0.0 μB per cell, volume 165 Å³/cell.